(1)
Compound: Pu3Ag4Au2
Source: Alexandria
Functional: PBE
Structure: optimized geometry

- E_form: -194 meV/atom
- Final energy: -6.967 eV/atom
- Space group: No. 66

POSCAR file:
```
Pu3Ag4Au2
1.0
4.2944 -7.4359 0.0000
4.2944 7.4359 0.0000
0.0000 0.0000 6.0832
Pu Ag Au
6 8 4
Cartesian
0.0000 0.0000 1.5208 Pu
0.0000 0.0000 4.5624 Pu
4.2944 2.5478 1.5208 Pu
4.2944 2.5478 4.5624 Pu
4.2944 -2.5478 1.5208 Pu
4.2944 -2.5478 4.5624 Pu
1.4554 2.4598 0.0000 Ag
1.4554 -2.4598 3.0416 Ag
2.8901 0.0102 0.0000 Ag
2.8901 -0.0102 3.0416 Ag
5.6987 0.0102 3.0416 Ag
5.6987 -0.0102 0.0000 Ag
7.1334 2.4598 3.0416 Ag
7.1334 -2.4598 0.0000 Ag
1.4330 2.4451 3.0416 Au
1.4330 -2.4451 0.0000 Au
7.1558 2.4451 0.0000 Au
7.1558 -2.4451 3.0416 Au
```

=====

(2)
Compound: MgTe2Mo
Source: Alexandria
Functional: PBE
Structure: optimized geometry

- ΔE_f (raw): 0.36 eV/atom
- Final energy: -4.321 eV/atom
- Space group: No. 119

POSCAR file:
```
MgTe2Mo
1.0
-2.0081 2.0081 6.6154
2.0081 -2.0081 6.6154
2.0081 2.0081 -6.6154
Mg Te Mo
1 2 1
Cartesian
0.0000 0.0000 0.0000 Mg
0.0000 0.0000 6.6154 Te
0.0000 2.0081 3.3077 Te
2.0081 0.0000 3.3077 Mo
```

=====

(3)
Compound: Pr4Sm3Y
Source: Alexandria
Functional: PBE
Structure: optimized geometry

- E_form: 31 meV/atom
- Final energy: -4.937 eV/atom
- Energy above the most stable polymorph in this dataset: 0.000 eV/f.u.
- Space group: No. 31

POSCAR file:
```
Pr4Sm3Y
1.0
11.8643 0.0000 0.0000
0.0000 7.4073 0.0000
0.0000 0.0000 6.4019
Pr Sm Y
8 6 2
Cartesian
0.0000 0.9360 0.0000 Pr
0.0000 6.4699 3.2192 Pr
2.9528 6.4625 1.0754 Pr
2.9794 0.9448 4.2764 Pr
5.9322 0.9375 0.0183 Pr
5.9322 6.4713 3.2010 Pr
8.8849 0.9448 4.2764 Pr
8.9116 6.4625 1.0754 Pr
0.0000 2.7870 3.1977 Sm
2.9683 2.7947 1.0738 Sm
2.9638 4.6126 4.2748 Sm
5.9322 4.6203 6.3987 Sm
8.8960 2.7947 1.0738 Sm
8.9005 4.6126 4.2748 Sm
0.0000 4.6057 0.0032 Y
5.9322 2.8016 3.2042 Y
```

=====

(4)
Compound: Sm4Te2SeS
Source: Alexandria
Functional: PBE
Structure: optimized geometry

- ΔE_f (raw): -1.67 eV/atom
- Final energy: -5.762 eV/atom
- Space group: No. 10

POSCAR file:
```
Sm4Te2SeS
1.0
7.3876 0.0000 0.0000
0.0000 4.2146 0.0000
-2.4231 0.0000 7.0946
Sm Te Se S
4 2 1 1
Cartesian
1.1644 0.0000 1.4780 Sm
-0.0600 2.1073 5.5905 Sm
5.0246 2.1073 1.5041 Sm
3.8002 0.0000 5.6166 Sm
-1.2115 0.0000 3.5473 Te
2.4823 2.1073 3.5473 Te
3.6938 0.0000 0.0000 Se
0.0000 2.1073 0.0000 S
```

=====

(5)
Compound: TiInCu
Source: Alexandria
Functional: PBE
Structure: optimized geometry

- E_form: -49 meV/atom
- Final energy: -4.959 eV/atom
- Space group: No. 65

POSCAR file:
```
TiInCu
1.0
2.0580 -6.4315 0.0000
2.0580 6.4315 0.0000
0.0000 0.0000 3.8575
Ti In Cu
2 2 2
Cartesian
0.0000 0.0000 0.0000 Ti
2.0580 0.0000 1.9287 Ti
2.0580 4.2736 1.9287 In
2.0580 -4.2736 1.9287 In
2.0580 1.9978 0.0000 Cu
2.0580 -1.9978 0.0000 Cu
```

=====

(6)
Compound: DyPu3Ir3
Source: Alexandria
Functional: PBE
Structure: optimized geometry

- E_form: -407 meV/atom
- Final energy: -11.004 eV/atom
- Space group: No. 12

POSCAR file:
```
DyPu3Ir3
1.0
4.4203 -5.1907 0.0000
4.4203 5.1907 0.0000
-0.1403 0.0000 6.9898
Dy Pu Ir
2 6 6
Cartesian
2.0755 0.0000 0.7535 Dy
6.6247 0.0000 6.2363 Dy
1.3411 0.0000 4.1718 Pu
4.4203 2.4690 0.0000 Pu
4.3501 1.9274 3.4949 Pu
4.3501 -1.9274 3.4949 Pu
4.4203 -2.4690 0.0000 Pu
7.3591 0.0000 2.8180 Pu
2.0684 2.4827 5.2300 Ir
3.7643 0.0000 5.5353 Ir
2.0684 -2.4827 5.2300 Ir
6.6318 2.4827 1.7598 Ir
4.9359 0.0000 1.4545 Ir
6.6318 -2.4827 1.7598 Ir
```

=====

(7)
Compound: InCoI2N
Source: Alexandria
Functional: PBE
Structure: optimized geometry

- ΔE_f (raw): 1.15 eV/atom
- Final energy: -3.108 eV/atom
- Energy above the most stable polymorph in this dataset: 4.255 eV/f.u.
- Space group: No. 123

POSCAR file:
```
InCoI2N
1.0
6.0356 0.0000 0.0000
0.0000 6.0356 0.0000
0.0000 0.0000 4.0024
In Co I N
1 1 2 1
Cartesian
0.0000 0.0000 0.0000 In
3.0178 3.0178 2.0012 Co
0.0000 3.0178 0.0000 I
3.0178 0.0000 0.0000 I
0.0000 0.0000 2.0012 N
```

=====

(8)
Compound: Cd2SbAu
Source: Alexandria
Functional: PBE
Structure: optimized geometry

- ΔE_f (raw): 0.03 eV/atom
- Final energy: -2.276 eV/atom
- Space group: No. 139

POSCAR file:
```
Cd2SbAu
1.0
-2.2546 2.2546 4.4160
2.2546 -2.2546 4.4160
2.2546 2.2546 -4.4160
Cd Sb Au
2 1 1
Cartesian
2.2546 0.0000 2.2080 Cd
0.0000 2.2546 2.2080 Cd
0.0000 0.0000 0.0000 Sb
0.0000 0.0000 4.4160 Au
```

=====

(9)
Compound: KHgRh2
Source: Alexandria
Functional: PBE
Structure: optimized geometry

- E_form: 317 meV/atom
- Final energy: -3.708 eV/atom
- Space group: No. 99

POSCAR file:
```
KHgRh2
1.0
3.0034 0.0000 0.0000
0.0000 3.0034 0.0000
0.0000 0.0000 9.1272
K Hg Rh
1 1 2
Cartesian
0.0000 0.0000 0.0000 K
1.5017 1.5017 6.1884 Hg
0.0000 0.0000 4.1182 Rh
1.5017 1.5017 2.5995 Rh
```

=====

(10)
Compound: LiDy2Pb9
Source: Alexandria
Functional: PBE
Structure: optimized geometry

- E_form: -230 meV/atom
- Final energy: -3.937 eV/atom
- Space group: No. 123

POSCAR file:
```
LiDy2Pb9
1.0
4.8256 0.0000 0.0000
0.0000 4.8256 0.0000
0.0000 0.0000 14.7924
Li Dy Pb
1 2 9
Cartesian
0.0000 0.0000 0.0000 Li
0.0000 0.0000 4.9824 Dy
0.0000 0.0000 9.8101 Dy
0.0000 2.4128 2.3946 Pb
0.0000 2.4128 7.3962 Pb
0.0000 2.4128 12.3978 Pb
2.4128 0.0000 2.3946 Pb
2.4128 0.0000 7.3962 Pb
2.4128 0.0000 12.3978 Pb
2.4128 2.4128 0.0000 Pb
2.4128 2.4128 4.8711 Pb
2.4128 2.4128 9.9213 Pb
```

=====

(11)
Compound: BaAs2Rh
Source: Alexandria
Functional: PBE
Structure: optimized geometry

- E_form: -428 meV/atom
- Final energy: -5.071 eV/atom
- Space group: No. 71

POSCAR file:
```
BaAs2Rh
1.0
-1.7485 3.0828 4.5984
1.7485 -3.0828 4.5984
1.7485 3.0828 -4.5984
Ba As Rh
1 2 1
Cartesian
0.0000 0.0000 0.0000 Ba
1.7485 0.0000 2.8445 As
0.0000 3.0828 1.7539 As
0.0000 0.0000 4.5984 Rh
```

=====

(12)
Compound: RbCoGe2
Source: Alexandria
Functional: PBE
Structure: optimized geometry

- E_form: -55 meV/atom
- Final energy: -4.382 eV/atom
- Energy above the most stable polymorph in this dataset: 0.000 eV/f.u.
- Space group: No. 141

POSCAR file:
```
RbCoGe2
1.0
-3.1931 3.1931 5.9014
3.1931 -3.1931 5.9014
3.1931 3.1931 -5.9014
Rb Co Ge
2 2 4
Cartesian
3.1931 1.5966 1.4754 Rb
0.0000 1.5966 4.4261 Rb
3.1931 -1.5966 4.4261 Co
0.0000 4.7897 1.4754 Co
0.0000 0.0000 0.0000 Ge
1.5966 1.5966 -2.9507 Ge
1.5966 -1.5966 2.9507 Ge
0.0000 3.1931 0.0000 Ge
```